1.
4
Lattice="4.694 0.000 0.000 2.347 4.065 0.000 2.347 1.355 3.833" Properties=species:S:1:pos:R:3 comment="ZnCrCd2 | the Alexandria database | PBE | optimized geometry" space_group="F-43m, No. 216" e_form_ev_per_fu=1.01 final_energy_ev_per_cell=-11.72 m_tot_mub_per_fu=3.88 volume_a3_per_atom=18.3 pbc="T T T"
Zn 7.042 4.065 2.875
Cd 0.000 0.000 0.000
Cd 2.347 1.355 0.958
Cr 4.694 2.710 1.916

***

2.
18
Lattice="4.816 0.000 0.000 -2.408 10.011 0.000 0.000 0.000 16.226" Properties=species:S:1:pos:R:3 comment="Cs2RbBaCl5 | the Alexandria database | PBE | optimized geometry" space_group="Cmc2_1, No. 36" final_energy_ev_per_cell=-65.70 m_tot_mub_per_fu=0.18 e_form_raw_ev_per_atom=-2.11 volume_a3_per_atom=43.5 pbc="T T T"
Cl 0.000 5.738 6.684
Cl 2.408 4.273 14.797
Cl 0.000 7.758 16.202
Cl 2.408 4.975 2.521
Cl 2.408 0.212 4.355
Cl 0.000 1.756 1.098
Cl 2.408 8.255 9.211
Cl 2.408 2.253 8.089
Cl 0.000 5.036 10.634
Cl 0.000 9.799 12.468
Cs 0.000 1.465 10.651
Cs 0.000 2.740 4.647
Cs 2.408 8.546 2.538
Cs 2.408 7.271 12.760
Ba 0.000 4.757 0.493
Ba 2.408 5.254 8.606
Rb 2.408 0.940 15.397
Rb 0.000 9.071 7.284